K2SmUSe4: optimized geometry, PBE.

It has space group P2/m (No. 10), with a = 7.385 Å, b = 4.268 Å, c = 8.099 Å, α = 90.00°, β = 107.72° and γ = 90.00°. The inequivalent atoms are K at (0.000, 0.000, 0.000), K at (0.500, 0.500, 0.000), Sm at (0.000, 0.500, 0.500), U at (0.500, 0.000, 0.500), Se at (0.239, 0.000, 0.710) and Se at (0.267, 0.500, 0.292).

For the raw total energy, the calculation gives -0.4043 Ry/atom. The formation energy without anion corrections comes out at -1.483 eV per atom. The density of states at the Fermi level comes out at 7.4 states/eV per cell. The spin magnetization is 3.0 Bohr magnetons per cell.